1.
Compound: Th2NbIn
Source: Alexandria
Functional: PBE
Structure: relaxed

a = 3.7973 Å, b = 3.7973 Å, c = 7.6360 Å
α = 90.00°, β = 90.00°, γ = 90.00°
With the nearest neighbours (Å) after each atom.
Atoms (fractional coordinates):
Nb (0.5000, 0.5000, 0.0000)  8 Th 3.20
Th (0.0000, 0.0000, 0.7717)  4 Nb 3.20, 4 In 3.39, 1 Th 3.49
Th (0.0000, 0.0000, 0.2283)  4 Nb 3.20, 4 In 3.39, 1 Th 3.49
In (0.5000, 0.5000, 0.5000)  8 Th 3.39, 4 In 3.80

Computed properties:
Symmetry: P4/mmm
N(E_F) in states/eV/cell: 6.1
Magnetic moment in μB/atom: 0.001
Distance to the lowest polymorph of the same formula in eV/atom: 0.0173
Formation energy in eV/atom: 0.0670

***

2.
Compound: NiSbP
Source: Alexandria
Functional: PBE
Structure: relaxed

a = 3.7106 Å, b = 9.6301 Å, c = 6.0568 Å
α = 90.00°, β = 90.00°, γ = 90.00°
With the nearest neighbours (Å) after each atom.
Atoms (fractional coordinates):
Sb (0.2500, 0.0188, 0.2776)  3 Ni 2.59-2.61, 1 P 2.66
Sb (0.7500, 0.4812, 0.7776)  3 Ni 2.59-2.61, 1 P 2.66
Sb (0.7500, 0.9812, 0.7224)  3 Ni 2.59-2.61, 1 P 2.66
Sb (0.2500, 0.5188, 0.2224)  3 Ni 2.59-2.61, 1 P 2.66
P (0.2500, 0.2297, 0.9942)  3 Ni 2.25-2.29
P (0.7500, 0.2703, 0.4942)  3 Ni 2.25-2.29
P (0.7500, 0.7703, 0.0058)  3 Ni 2.25-2.29
P (0.2500, 0.7297, 0.5058)  3 Ni 2.25-2.29
Ni (0.2500, 0.1644, 0.6379)  3 P 2.25-2.29
Ni (0.7500, 0.3356, 0.1379)  3 P 2.25-2.29
Ni (0.7500, 0.8356, 0.3621)  3 P 2.25-2.29
Ni (0.2500, 0.6644, 0.8621)  3 P 2.25-2.29

Computed properties:
Symmetry: Pnma
N(E_F) in states/eV/cell: 6.8
Magnetic moment in μB/atom: 0.000
Distance to the lowest polymorph of the same formula in eV/atom: 0.0693